A plane-wave DFT calculation with GGA+U was carried out for a relaxed NiGeIO2 crystal.

a = 4.041 Å, b = 4.041 Å, c = 5.347 Å
α = 90.00°, β = 90.00°, γ = 90.00°
Fractional coordinates of all 5 atoms:
O (0.500, 0.000, 0.000)
I (0.000, 0.000, 0.500)
Ni (0.000, 0.000, 0.000)
O (0.000, 0.500, 0.000)
Ge (0.500, 0.500, 0.500)

Properties
space-group type	P4/mmm, No. 123
ΔE to the lowest computed polymorph	0.533	eV per atom
M_tot	2.543	μB per formula unit
E_tot	-3.53	eV/atom

=====

A plane-wave DFT calculation with GGA+U was carried out for a relaxed NiGeI2O crystal.

a = 5.779 Å, b = 5.779 Å, c = 3.742 Å
α = 90.00°, β = 90.00°, γ = 90.00°
Fractional coordinates of all 5 atoms:
O (0.000, 0.000, 0.500)
I (0.500, 0.000, 0.000)
Ni (0.500, 0.500, 0.500)
I (0.000, 0.500, 0.000)
Ge (0.000, 0.000, 0.000)

Properties
space-group type	P4/mmm, No. 123
ΔE to the lowest computed polymorph	0.000	eV per atom
M_tot	1.013	μB per formula unit
E_tot	-3.00	eV/atom

=====

A plane-wave DFT calculation with GGA+U was carried out for a relaxed NiGeI2O crystal.

a = 5.650 Å, b = 5.650 Å, c = 3.646 Å
α = 90.00°, β = 90.00°, γ = 90.00°
Fractional coordinates of all 5 atoms:
I (0.500, 0.000, 0.000)
Ge (0.500, 0.500, 0.500)
I (0.000, 0.500, 0.000)
O (0.000, 0.000, 0.500)
Ni (0.000, 0.000, 0.000)

Properties
space-group type	P4/mmm, No. 123
ΔE to the lowest computed polymorph	0.093	eV per atom
M_tot	2.338	μB per formula unit
E_tot	-2.91	eV/atom

=====

A plane-wave DFT calculation with GGA+U was carried out for a relaxed NiGeIO6 crystal.

a = 5.114 Å, b = 5.114 Å, c = 9.059 Å
α = 90.00°, β = 90.00°, γ = 120.00°
Fractional coordinates of all 18 atoms:
O (0.641, 0.986, 0.868)
O (0.655, 0.641, 0.132)
O (0.345, 0.986, 0.632)
O (0.359, 0.014, 0.132)
O (0.986, 0.641, 0.368)
I (0.667, 0.333, 0.750)
O (0.359, 0.345, 0.368)
O (0.014, 0.359, 0.632)
O (0.641, 0.655, 0.632)
Ge (0.667, 0.333, 0.250)
Ge (0.333, 0.667, 0.750)
Ni (0.000, 0.000, 0.500)
O (0.014, 0.655, 0.868)
I (0.333, 0.667, 0.250)
O (0.986, 0.345, 0.132)
O (0.345, 0.359, 0.868)
Ni (0.000, 0.000, 0.000)
O (0.655, 0.014, 0.368)

Properties
space-group type	P-31c, No. 163
M_tot	1.159	μB per formula unit
E_tot	-5.05	eV/atom

=====

A plane-wave DFT calculation with GGA+U was carried out for a relaxed NiGeIO2 crystal.

a = 3.701 Å, b = 3.701 Å, c = 6.579 Å
α = 90.00°, β = 90.00°, γ = 90.00°
Fractional coordinates of all 5 atoms:
Ge (0.000, 0.000, 0.000)
O (0.000, 0.500, 0.000)
Ni (0.500, 0.500, 0.500)
O (0.500, 0.000, 0.000)
I (0.000, 0.000, 0.500)

Properties
space-group type	P4/mmm, No. 123
ΔE to the lowest computed polymorph	0.000	eV per atom
M_tot	0.997	μB per formula unit
E_tot	-4.06	eV/atom